Here is a relaxed ZrMn3Pb crystal from Alexandria. Energies are from GGA-PBEsol.

Results
- Spin magnetization: 9.267 μB/cell
- Calculated volume: 115.43 Å³ per cell
- Energy of formation from the pure elements: 7.516 eV/f.u.

Cell: 4.8690 4.8690 4.8690 Å, 90.00 90.00 90.00°
Closest atoms and distances in Å follow each position.
Fractional coordinates of all 5 atoms:
Pb 0.0000 0.0000 0.0000  6 Mn 2.43
Mn 0.0000 0.5000 0.0000  2 Pb 2.43
Mn 0.0000 0.0000 0.5000  2 Pb 2.43
Mn 0.5000 0.0000 0.0000  2 Pb 2.43
Zr 0.5000 0.5000 0.5000  12 Mn 3.44